i.
This record from Alexandria via LeMat-Bulk describes Tb12Ho6Sc after structural relaxation. The functional is PBE.

Values from the calculation:
Magnetization in μB/f.u.: 0.00

Unit cell a=8.4758 b=8.4758 c=8.4758 alpha=88.72 beta=88.72 gamma=88.72
Atoms (fractional coordinates):
Tb (0.0143, 0.1947, 0.3575)
Tb (0.1947, 0.3575, 0.0143)
Tb (0.2214, 0.4610, 0.5637)
Tb (0.3575, 0.0143, 0.1947)
Tb (0.4363, 0.7786, 0.5390)
Tb (0.4610, 0.5637, 0.2214)
Tb (0.5390, 0.4363, 0.7786)
Tb (0.5637, 0.2214, 0.4610)
Tb (0.6425, 0.9857, 0.8053)
Tb (0.7786, 0.5390, 0.4363)
Tb (0.8053, 0.6425, 0.9857)
Tb (0.9857, 0.8053, 0.6425)
Ho (0.0950, 0.7006, 0.2587)
Ho (0.2587, 0.0950, 0.7006)
Ho (0.2994, 0.7413, 0.9050)
Ho (0.7006, 0.2587, 0.0950)
Ho (0.7413, 0.9050, 0.2994)
Ho (0.9050, 0.2994, 0.7413)
Sc (0.0000, 0.0000, 0.0000)

---

ii.
This record from Alexandria via LeMat-Bulk describes Tb12Ho6Sc after structural relaxation. The functional is PBE.

Values from the calculation:
Magnetization in μB/f.u.: 0.01

Unit cell a=9.5918 b=9.5918 c=9.5918 alpha=110.98 beta=110.98 gamma=110.98
Atoms (fractional coordinates):
Tb (0.0000, 0.3894, 0.6106)
Tb (0.0000, 0.6106, 0.3894)
Tb (0.2499, 0.2499, 0.5010)
Tb (0.2499, 0.5010, 0.2499)
Tb (0.3894, 0.0000, 0.6106)
Tb (0.3894, 0.6106, 0.0000)
Tb (0.4990, 0.7501, 0.7501)
Tb (0.5010, 0.2499, 0.2499)
Tb (0.6106, 0.0000, 0.3894)
Tb (0.6106, 0.3894, 0.0000)
Tb (0.7501, 0.4990, 0.7501)
Tb (0.7501, 0.7501, 0.4990)
Ho (0.1440, 0.1440, 0.7625)
Ho (0.1440, 0.7625, 0.1440)
Ho (0.2375, 0.8560, 0.8560)
Ho (0.7625, 0.1440, 0.1440)
Ho (0.8560, 0.2375, 0.8560)
Ho (0.8560, 0.8560, 0.2375)
Sc (0.5000, 0.5000, 0.5000)

---

Stability check: which of them is least stable? ii.

---

i.
This record from Alexandria via LeMat-Bulk describes Tb8Ho2Sc3 after structural relaxation. The functional is PBE.

Values from the calculation:
Magnetization in μB/f.u.: 0.00

Unit cell a=8.5194 b=8.5194 c=6.5588 alpha=97.55 beta=97.55 gamma=61.81
Atoms (fractional coordinates):
Tb (0.0725, 0.7066, 0.0712)
Tb (0.0881, 0.0881, 0.3873)
Tb (0.2934, 0.9275, 0.9288)
Tb (0.3076, 0.3076, 0.7007)
Tb (0.6924, 0.6924, 0.2993)
Tb (0.7066, 0.0725, 0.0712)
Tb (0.9119, 0.9119, 0.6127)
Tb (0.9275, 0.2934, 0.9288)
Ho (0.3008, 0.3008, 0.2099)
Ho (0.6992, 0.6992, 0.7901)
Sc (0.3366, 0.6634, 0.5000)
Sc (0.5000, 0.5000, 0.0000)
Sc (0.6634, 0.3366, 0.5000)

---

ii.
This record from Alexandria via LeMat-Bulk describes Tb8Ho2Sc3 after structural relaxation. The functional is PBE.

Values from the calculation:
Magnetization in μB/f.u.: 0.00

Unit cell a=6.0415 b=6.0484 c=10.9929 alpha=90.03 beta=100.52 gamma=99.52
Atoms (fractional coordinates):
Tb (0.0412, 0.4182, 0.1477)
Tb (0.1936, 0.1189, 0.7782)
Tb (0.3460, 0.8078, 0.3802)
Tb (0.4234, 0.6573, 0.6984)
Tb (0.5766, 0.3427, 0.3016)
Tb (0.6540, 0.1922, 0.6198)
Tb (0.8064, 0.8811, 0.2218)
Tb (0.9588, 0.5818, 0.8523)
Ho (0.1149, 0.2689, 0.4607)
Ho (0.8851, 0.7311, 0.5393)
Sc (0.2737, 0.9608, 0.0734)
Sc (0.5000, 0.5000, 0.0000)
Sc (0.7263, 0.0392, 0.9266)

---

Stability check: which of them is least stable? i.